(1)
Entry from Alexandria via LeMat-Bulk: crystalline FeTcW2 at its relaxed geometry (PBE).

```
FeTcW2
1.0
8.968 0.008 0.005
8.533 2.759 0.005
8.533 1.349 2.406
Fe Tc W
1 1 2
Direct
0.250 0.250 0.250
0.750 0.750 0.750
0.998 0.998 0.998
0.502 0.502 0.502
```

The relative energy among the computed polymorphs comes out at 203.5 meV per atom. The formation energy comes out at 307 meV per atom. Its total magnetization is 2.07 μB/f.u.

=====

(2)
Entry from Alexandria via LeMat-Bulk: crystalline YTi2Pd2 at its relaxed geometry (PBE).

```
YTi2Pd2
1.0
-7.708 1.609 0.464
-1.313 -4.450 -6.379
-0.385 -2.336 1.709
Y Pd Ti
2 4 4
Direct
0.000 0.000 0.000
0.500 0.500 0.000
0.150 0.650 0.500
0.650 0.850 0.500
0.850 0.350 0.500
0.350 0.150 0.500
0.355 0.855 0.000
0.855 0.645 0.000
0.645 0.145 0.000
0.145 0.355 0.000
```

The relative energy among the computed polymorphs comes out at 94.5 meV per atom. The formation energy comes out at -354 meV per atom. Its total magnetization is 1.21 μB/f.u.

=====

(3)
Entry from Alexandria via LeMat-Bulk: crystalline BaCa2In6 at its relaxed geometry (PBE).

```
BaCa2In6
1.0
-1.649 4.240 1.005
-8.225 0.039 -2.861
-6.787 -1.334 5.290
Ba Ca In
1 2 6
Direct
0.000 0.000 0.000
0.874 0.626 0.626
0.126 0.374 0.374
0.687 0.003 0.622
0.313 0.997 0.378
0.313 0.378 0.997
0.500 0.674 0.326
0.500 0.326 0.674
0.687 0.622 0.003
```

The formation energy comes out at -353 meV per atom. Its total magnetization is 0.00 μB/f.u.

=====

(4)
Entry from Alexandria via LeMat-Bulk: crystalline LaBeFeCo2 at its relaxed geometry (PBE).

```
LaBeFeCo2
1.0
-2.415 3.150 -0.628
-2.140 -2.393 -3.773
-2.703 -1.568 2.527
Be Co Fe La
1 2 1 1
Direct
0.000 0.000 0.000
0.000 0.000 0.500
0.500 0.000 0.000
0.500 0.500 0.500
0.000 0.500 0.000
```

The formation energy comes out at 783 meV per atom. Its total magnetization is 2.97 μB/f.u.

=====

(5)
Entry from Alexandria via LeMat-Bulk: crystalline Sr2BiPPb at its relaxed geometry (PBE).

```
Sr2BiPPb
1.0
-2.101 -2.916 2.727
-4.422 -3.332 -6.971
7.714 -5.232 0.350
Sr Bi P Pb
4 2 2 2
Direct
0.750 0.705 0.628
0.750 0.856 0.098
0.250 0.295 0.372
0.250 0.144 0.902
0.250 0.690 0.341
0.750 0.310 0.659
0.250 0.804 0.856
0.750 0.196 0.144
0.250 0.506 0.863
0.750 0.494 0.137
```

The formation energy comes out at -705 meV per atom. Its total magnetization is 0.00 μB/f.u.

=====

(6)
Entry from Alexandria via LeMat-Bulk: crystalline PmPrI6 at its relaxed geometry (PBE).

```
PmPrI6
1.0
-6.002 4.740 -0.958
-0.885 -4.429 -6.832
-1.845 -2.751 7.490
Pm Pr I
1 1 6
Direct
0.000 0.000 0.000
0.500 0.500 0.500
0.753 0.602 0.903
0.753 0.903 0.602
0.247 0.097 0.398
0.247 0.398 0.097
0.751 0.248 0.248
0.249 0.752 0.752
```

The relative energy among the computed polymorphs comes out at 0.0 meV per atom. Its raw formation energy is -1.38 eV per atom. Its total magnetization is 0.00 μB/f.u.